No. 1
Material: K3RbPt
Method: DFT, GGA-PBE
State: relaxed

Cell lengths 10.5602, 4.8400, 12.0258 Å; angles 90.00, 110.28, 90.00 degrees
Fractional coordinates of all 10 atoms:
K  0.0135  0.2500  0.2443
K  0.2732  0.7500  0.1645
K  0.3054  0.2500  0.9110
K  0.6946  0.7500  0.0890
K  0.7268  0.2500  0.8355
K  0.9865  0.7500  0.7557
Rb  0.3329  0.7500  0.5756
Rb  0.6671  0.2500  0.4244
Pt  0.0322  0.2500  0.9898
Pt  0.9678  0.7500  0.0102

Computed properties:
M_tot in μB per atom: 0.000
E in eV for the cell shown: -20.950
Offset from the most stable computed form in kJ/mol of atoms: 0.0
Calculated density in g/cm³: 2.29
Volume in Å³/cell: 576.56
Crystal system: monoclinic
Formation enthalpy at 0 K in eV per atom: -0.0348

No. 2
Material: KRb3Pt
Method: DFT, GGA-PBE
State: relaxed

Cell lengths 7.0469, 7.0469, 7.0469 Å; angles 90.00, 90.00, 90.00 degrees
Fractional coordinates of all 5 atoms:
K  0.0000  0.0000  0.0000
Rb  0.0000  0.0000  0.5000
Rb  0.0000  0.5000  0.0000
Rb  0.5000  0.0000  0.0000
Pt  0.5000  0.5000  0.5000

Computed properties:
M_tot in μB per atom: 0.000
E in eV for the cell shown: -5.938
Offset from the most stable computed form in kJ/mol of atoms: 80.5
Calculated density in g/cm³: 2.33
Volume in Å³/cell: 349.94
Crystal system: cubic
Formation enthalpy at 0 K in eV per atom: 0.8207

No. 3
Material: K2RbPt
Method: DFT, GGA-PBE
State: relaxed

Cell lengths 9.2233, 9.2233, 9.2233 Å; angles 33.07, 33.07, 33.07 degrees
Fractional coordinates of all 4 atoms:
K  0.0000  0.0000  0.0000
K  0.2478  0.2478  0.2478
Rb  0.7698  0.7698  0.7698
Pt  0.6354  0.6354  0.6354

Computed properties:
M_tot in μB per atom: 0.000
E in eV for the cell shown: -8.909
Calculated density in g/cm³: 2.86
Volume in Å³/cell: 207.94
Crystal system: trigonal
Formation enthalpy at 0 K in eV per atom: 0.0737

No. 4
Material: K7Rb12Pt
Method: DFT, GGA-PBE
State: relaxed

Cell lengths 14.9559, 14.9559, 14.9559 Å; angles 116.56, 116.56, 116.56 degrees
Fractional coordinates of all 20 atoms:
K  0.0000  0.0000  0.0000
K  0.2049  0.4044  0.4044
K  0.4044  0.2049  0.4044
K  0.4044  0.4044  0.2049
K  0.5956  0.5956  0.7951
K  0.5956  0.7951  0.5956
K  0.7951  0.5956  0.5956
Rb  0.0000  0.4112  0.5888
Rb  0.0000  0.5888  0.4112
Rb  0.0361  0.0361  0.3821
Rb  0.0361  0.3821  0.0361
Rb  0.3821  0.0361  0.0361
Rb  0.4112  0.0000  0.5888
Rb  0.4112  0.5888  0.0000
Rb  0.5888  0.0000  0.4112
Rb  0.5888  0.4112  0.0000
Rb  0.6179  0.9639  0.9639
Rb  0.9639  0.6179  0.9639
Rb  0.9639  0.9639  0.6179
Pt  0.5000  0.5000  0.5000

Computed properties:
M_tot in μB per atom: 0.000
E in eV for the cell shown: -24.644
Calculated density in g/cm³: 1.58
Volume in Å³/cell: 1574.99
Crystal system: trigonal
Formation enthalpy at 0 K in eV per atom: 0.0345

No. 5
Material: KRbPt2
Method: DFT, GGA-PBE
State: relaxed

Cell lengths 6.9682, 6.9682, 6.9682 Å; angles 98.93, 98.93, 133.60 degrees
Fractional coordinates of all 8 atoms:
K  0.0000  0.0000  0.0000
K  0.7500  0.2500  0.5000
Rb  0.2500  0.7500  0.5000
Rb  0.5000  0.5000  0.0000
Pt  0.1194  0.6250  0.9944
Pt  0.3750  0.3694  0.4944
Pt  0.6306  0.1250  0.0056
Pt  0.8750  0.8806  0.5056

Computed properties:
M_tot in μB per atom: 0.098
E in eV for the cell shown: -25.093
Offset from the most stable computed form in kJ/mol of atoms: 0.0
Calculated density in g/cm³: 7.59
Volume in Å³/cell: 225.19
Crystal system: tetragonal
Formation enthalpy at 0 K in eV per atom: 0.4001

No. 6
Material: KRb2Pt
Method: DFT, GGA-PBE
State: relaxed

Cell lengths 9.0611, 9.0611, 9.0611 Å; angles 96.97, 96.97, 139.23 degrees
Fractional coordinates of all 8 atoms:
K  0.0000  0.0000  0.0000
K  0.7500  0.2500  0.5000
Rb  0.2762  0.1250  0.6512
Rb  0.3750  0.7238  0.8488
Rb  0.4738  0.6250  0.3488
Rb  0.8750  0.5262  0.1512
Pt  0.2500  0.7500  0.5000
Pt  0.5000  0.5000  0.0000

Computed properties:
M_tot in μB per atom: 0.161
E in eV for the cell shown: -17.191
Calculated density in g/cm³: 2.95
Volume in Å³/cell: 455.37
Crystal system: tetragonal
Formation enthalpy at 0 K in eV per atom: 0.1194

No. 7
Material: K4RbPt
Method: DFT, GGA-PBE
State: relaxed

Cell lengths 11.2162, 11.2162, 7.8083 Å; angles 100.94, 100.94, 47.50 degrees
Fractional coordinates of all 12 atoms:
K  0.1412  0.6633  0.3859
K  0.1723  0.1723  0.2464
K  0.2150  0.7850  0.0000
K  0.3367  0.8588  0.6141
K  0.6633  0.1412  0.3859
K  0.7850  0.2150  0.0000
K  0.8277  0.8277  0.7536
K  0.8588  0.3367  0.6141
Rb  0.3037  0.3037  0.8311
Rb  0.6963  0.6963  0.1689
Pt  0.0220  0.0220  0.3505
Pt  0.9780  0.9780  0.6495

Computed properties:
M_tot in μB per atom: 0.000
E in eV for the cell shown: -22.681
Calculated density in g/cm³: 2.05
Volume in Å³/cell: 708.46
Crystal system: monoclinic
Formation enthalpy at 0 K in eV per atom: 0.0096

No. 8
Material: K2RbPt
Method: DFT, GGA-PBE
State: relaxed

Cell lengths 8.5648, 8.5648, 8.5648 Å; angles 98.85, 98.85, 133.82 degrees
Fractional coordinates of all 8 atoms:
K  0.3750  0.2367  0.3617
K  0.7633  0.1250  0.1383
K  0.8750  0.0133  0.6383
K  0.9867  0.6250  0.8617
Rb  0.2500  0.7500  0.5000
Rb  0.5000  0.5000  0.0000
Pt  0.0000  0.0000  0.0000
Pt  0.7500  0.2500  0.5000

Computed properties:
M_tot in μB per atom: 0.000
E in eV for the cell shown: -17.468
Calculated density in g/cm³: 2.86
Volume in Å³/cell: 417.01
Crystal system: tetragonal
Formation enthalpy at 0 K in eV per atom: 0.1173

No. 9
Material: K2RbPt
Method: DFT, GGA-PBE
State: relaxed

Cell lengths 7.6852, 7.6852, 5.4320 Å; angles 90.00, 90.00, 90.00 degrees
Fractional coordinates of all 8 atoms:
K  0.1703  0.3297  0.0000
K  0.3297  0.8297  0.0000
K  0.6703  0.1703  0.0000
K  0.8297  0.6703  0.0000
Rb  0.0000  0.0000  0.5000
Rb  0.5000  0.5000  0.5000
Pt  0.0000  0.5000  0.5000
Pt  0.5000  0.0000  0.5000

Computed properties:
M_tot in μB per atom: 0.146
E in eV for the cell shown: -17.242
Calculated density in g/cm³: 3.71
Volume in Å³/cell: 320.82
Crystal system: tetragonal
Formation enthalpy at 0 K in eV per atom: 0.1457

No. 10
Material: K2RbSb2Pt
Method: DFT, GGA-PBE
State: relaxed

Cell lengths 9.0878, 9.0878, 9.0878 Å; angles 117.38, 84.57, 129.40 degrees
Fractional coordinates of all 12 atoms:
K  0.1983  0.1419  0.3402
K  0.3017  0.6419  0.9436
K  0.6983  0.3581  0.0564
K  0.8017  0.8581  0.6598
Rb  0.2500  0.7500  0.5000
Rb  0.7500  0.2500  0.5000
Sb  0.0560  0.8210  0.8770
Sb  0.4440  0.3210  0.7650
Sb  0.5560  0.6790  0.2350
Sb  0.9440  0.1790  0.1230
Pt  0.2500  0.2500  0.0000
Pt  0.7500  0.7500  0.0000

Computed properties:
M_tot in μB per atom: 0.000
E in eV for the cell shown: -39.423
Calculated density in g/cm³: 4.06
E_form (uncorrected) in eV per atom: -0.377
Volume in Å³/cell: 493.23
Crystal system: orthorhombic

No. 11
Material: K2RbSiPt
Method: DFT, GGA-PBE
State: relaxed

Cell lengths 6.3935, 6.3935, 4.6496 Å; angles 90.00, 90.00, 90.00 degrees
Fractional coordinates of all 5 atoms:
K  0.0000  0.5000  0.0000
K  0.5000  0.0000  0.0000
Rb  0.0000  0.0000  0.5000
Si  0.5000  0.5000  0.5000
Pt  0.5000  0.5000  0.0000

Computed properties:
M_tot in μB per atom: 0.052
E in eV for the cell shown: -15.106
Calculated density in g/cm³: 3.38
E_form (uncorrected) in eV per atom: -0.096
Volume in Å³/cell: 190.06
Crystal system: tetragonal

No. 12
Material: KRbTe2Pt
Method: DFT, GGA-PBE
State: relaxed

Cell lengths 6.0497, 6.0497, 5.7824 Å; angles 90.00, 90.00, 90.00 degrees
Fractional coordinates of all 5 atoms:
K  0.0000  0.0000  0.0000
Rb  0.0000  0.0000  0.5000
Te  0.0000  0.5000  0.0000
Te  0.5000  0.0000  0.0000
Pt  0.5000  0.5000  0.5000

Computed properties:
M_tot in μB per atom: 0.055
E in eV for the cell shown: -10.339
Calculated density in g/cm³: 4.51
E_form (uncorrected) in eV per atom: 0.810
Volume in Å³/cell: 211.63
Crystal system: tetragonal

No. 13
Material: KRbTl2Pt
Method: DFT, GGA-PBE
State: relaxed

Cell lengths 5.4093, 5.4093, 6.2284 Å; angles 90.00, 90.00, 90.00 degrees
Fractional coordinates of all 5 atoms:
K  0.0000  0.0000  0.0000
Rb  0.5000  0.5000  0.0000
Tl  0.0000  0.5000  0.5000
Tl  0.5000  0.0000  0.5000
Pt  0.0000  0.0000  0.5000

Computed properties:
M_tot in μB per atom: 0.000
E in eV for the cell shown: -13.323
Offset from the most stable computed form in kJ/mol of atoms: 0.0
Calculated density in g/cm³: 6.64
Volume in Å³/cell: 182.25
Crystal system: tetragonal
Formation enthalpy at 0 K in eV per atom: -0.0968

No. 14
Material: KRbTl4Pt2
Method: DFT, GGA-PBE
State: relaxed

Cell lengths 5.2621, 5.2621, 11.7432 Å; angles 90.00, 90.00, 90.00 degrees
Fractional coordinates of all 8 atoms:
K  0.0000  0.0000  0.0000
Rb  0.0000  0.0000  0.5000
Tl  0.0000  0.5000  0.2426
Tl  0.0000  0.5000  0.7574
Tl  0.5000  0.0000  0.2426
Tl  0.5000  0.0000  0.7574
Pt  0.5000  0.5000  0.2438
Pt  0.5000  0.5000  0.7562

Computed properties:
M_tot in μB per atom: 0.000
E in eV for the cell shown: -23.554
Calculated density in g/cm³: 6.80
Volume in Å³/cell: 325.16
Crystal system: tetragonal
Formation enthalpy at 0 K in eV per atom: 0.0072

No. 15
Material: K4Rb2Tl2Pt
Method: DFT, GGA-PBE
State: relaxed

Cell lengths 8.5849, 8.5849, 7.2496 Å; angles 100.10, 100.10, 59.50 degrees
Fractional coordinates of all 9 atoms:
K  0.1196  0.6644  0.7238
K  0.3356  0.8804  0.2762
K  0.6644  0.1196  0.7238
K  0.8804  0.3356  0.2762
Rb  0.3534  0.3534  0.2023
Rb  0.6466  0.6466  0.7977
Tl  0.1444  0.1444  0.7888
Tl  0.8556  0.8556  0.2112
Pt  0.0000  0.0000  0.5000

Computed properties:
M_tot in μB per atom: 0.000
E in eV for the cell shown: -17.478
Calculated density in g/cm³: 3.43
Volume in Å³/cell: 450.89
Crystal system: monoclinic
Formation enthalpy at 0 K in eV per atom: -0.0421

No. 16
Material: KRb2Tl6Pt
Method: DFT, GGA-PBE
State: relaxed

Cell lengths 15.2228, 15.2228, 15.2228 Å; angles 29.77, 29.77, 29.77 degrees
Fractional coordinates of all 20 atoms:
K  0.0749  0.0749  0.0749
K  0.9251  0.9251  0.9251
Rb  0.2260  0.2260  0.2260
Rb  0.3991  0.3991  0.3991
Rb  0.6009  0.6009  0.6009
Rb  0.7740  0.7740  0.7740
Tl  0.1397  0.7171  0.7171
Tl  0.1751  0.1751  0.5810
Tl  0.1751  0.5810  0.1751
Tl  0.2829  0.2829  0.8603
Tl  0.2829  0.8603  0.2829
Tl  0.4190  0.8249  0.8249
Tl  0.5810  0.1751  0.1751
Tl  0.7171  0.1397  0.7171
Tl  0.7171  0.7171  0.1397
Tl  0.8249  0.4190  0.8249
Tl  0.8249  0.8249  0.4190
Tl  0.8603  0.2829  0.2829
Pt  0.0000  0.0000  0.0000
Pt  0.5000  0.5000  0.5000

Computed properties:
M_tot in μB per atom: 0.000
E in eV for the cell shown: -47.576
Calculated density in g/cm³: 7.04
Volume in Å³/cell: 770.10
Crystal system: trigonal
Formation enthalpy at 0 K in eV per atom: -0.0517

No. 17
Material: KRbTl2Pt
Method: DFT, GGA-PBE
State: relaxed

Cell lengths 5.4173, 5.4173, 6.3799 Å; angles 90.00, 90.00, 90.00 degrees
Fractional coordinates of all 5 atoms:
K  0.0000  0.0000  0.0000
Rb  0.5000  0.5000  0.0000
Tl  0.0000  0.5000  0.5000
Tl  0.5000  0.0000  0.5000
Pt  0.5000  0.5000  0.5000

Computed properties:
M_tot in μB per atom: 0.000
E in eV for the cell shown: -13.135
Offset from the most stable computed form in kJ/mol of atoms: 3.6
Calculated density in g/cm³: 6.46
Volume in Å³/cell: 187.24
Crystal system: tetragonal
Formation enthalpy at 0 K in eV per atom: -0.0594

No. 18
Material: KRbTlPt
Method: DFT, GGA-PBE
State: relaxed

Cell lengths 9.1202, 9.1202, 9.1202 Å; angles 30.42, 30.42, 30.42 degrees
Fractional coordinates of all 4 atoms:
K  0.0000  0.0000  0.0000
Rb  0.1767  0.1767  0.1767
Tl  0.4173  0.4173  0.4173
Pt  0.7510  0.7510  0.7510

Computed properties:
M_tot in μB per atom: 0.000
E in eV for the cell shown: -10.983
Calculated density in g/cm³: 5.05
Volume in Å³/cell: 172.35
Crystal system: trigonal
Formation enthalpy at 0 K in eV per atom: -0.1276

No. 19
Material: KRb2Tl2Pt
Method: DFT, GGA-PBE
State: relaxed

Cell lengths 9.5135, 9.5135, 9.5135 Å; angles 119.01, 80.58, 132.75 degrees
Fractional coordinates of all 12 atoms:
K  0.2500  0.2500  0.0000
K  0.7500  0.7500  0.0000
Rb  0.1861  0.6537  0.8398
Rb  0.3139  0.1537  0.4676
Rb  0.6861  0.8463  0.5324
Rb  0.8139  0.3463  0.1602
Tl  0.0692  0.3166  0.3858
Tl  0.4308  0.8166  0.2473
Tl  0.5692  0.1834  0.7527
Tl  0.9308  0.6834  0.6142
Pt  0.2500  0.7500  0.5000
Pt  0.7500  0.2500  0.5000

Computed properties:
M_tot in μB per atom: 0.000
E in eV for the cell shown: -29.065
Calculated density in g/cm³: 5.06
Volume in Å³/cell: 534.31
Crystal system: orthorhombic
Formation enthalpy at 0 K in eV per atom: -0.1211

No. 20
Material: KRbTl3Pt
Method: DFT, GGA-PBE
State: relaxed

Cell lengths 9.9404, 9.9404, 7.1166 Å; angles 101.33, 101.33, 134.63 degrees
Fractional coordinates of all 12 atoms:
K  0.0092  0.9908  0.7500
K  0.9908  0.0092  0.2500
Rb  0.3424  0.6576  0.7500
Rb  0.6576  0.3424  0.2500
Tl  0.0740  0.7356  0.9673
Tl  0.2644  0.9260  0.5327
Tl  0.4423  0.5577  0.2500
Tl  0.5577  0.4423  0.7500
Tl  0.7356  0.0740  0.4673
Tl  0.9260  0.2644  0.0327
Pt  0.2875  0.7125  0.2500
Pt  0.7125  0.2875  0.7500

Computed properties:
M_tot in μB per atom: 0.000
E in eV for the cell shown: -31.664
Calculated density in g/cm³: 7.19
Volume in Å³/cell: 430.66
Crystal system: monoclinic
Formation enthalpy at 0 K in eV per atom: -0.1046

No. 21
Material: K2RbTl6Pt
Method: DFT, GGA-PBE
State: relaxed

Cell lengths 15.3646, 15.3646, 15.3646 Å; angles 29.53, 29.53, 29.53 degrees
Fractional coordinates of all 20 atoms:
K  0.1034  0.1034  0.1034
K  0.2752  0.2752  0.2752
K  0.7248  0.7248  0.7248
K  0.8966  0.8966  0.8966
Rb  0.4246  0.4246  0.4246
Rb  0.5754  0.5754  0.5754
Tl  0.0795  0.6769  0.6769
Tl  0.2163  0.2163  0.6381
Tl  0.2163  0.6381  0.2163
Tl  0.3231  0.3231  0.9205
Tl  0.3231  0.9205  0.3231
Tl  0.3619  0.7837  0.7837
Tl  0.6381  0.2163  0.2163
Tl  0.6769  0.0795  0.6769
Tl  0.6769  0.6769  0.0795
Tl  0.7837  0.3619  0.7837
Tl  0.7837  0.7837  0.3619
Tl  0.9205  0.3231  0.3231
Pt  0.0000  0.0000  0.0000
Pt  0.5000  0.5000  0.5000

Computed properties:
M_tot in μB per atom: 0.000
E in eV for the cell shown: -47.334
Calculated density in g/cm³: 6.75
Volume in Å³/cell: 780.18
Crystal system: trigonal
Formation enthalpy at 0 K in eV per atom: -0.0266

No. 22
Material: KRb2Tl12Pt3
Method: DFT, GGA-PBE
State: relaxed

Cell lengths 9.3038, 9.3038, 9.3038 Å; angles 65.18, 65.18, 65.18 degrees
Fractional coordinates of all 18 atoms:
K  0.0000  0.0000  0.0000
Rb  0.4182  0.4182  0.4182
Rb  0.5818  0.5818  0.5818
Tl  0.1296  0.7355  0.7355
Tl  0.1672  0.1672  0.5371
Tl  0.1672  0.5371  0.1672
Tl  0.2645  0.2645  0.8704
Tl  0.2645  0.8704  0.2645
Tl  0.4629  0.8328  0.8328
Tl  0.5371  0.1672  0.1672
Tl  0.7355  0.1296  0.7355
Tl  0.7355  0.7355  0.1296
Tl  0.8328  0.4629  0.8328
Tl  0.8328  0.8328  0.4629
Tl  0.8704  0.2645  0.2645
Pt  0.0000  0.0000  0.5000
Pt  0.0000  0.5000  0.0000
Pt  0.5000  0.0000  0.0000

Computed properties:
M_tot in μB per atom: 0.000
E in eV for the cell shown: -49.238
Calculated density in g/cm³: 8.51
Volume in Å³/cell: 633.82
Crystal system: trigonal
Formation enthalpy at 0 K in eV per atom: 0.0174

No. 23
Material: K2RbZnPt
Method: DFT, GGA-PBE
State: relaxed

Cell lengths 6.4217, 6.4217, 4.9520 Å; angles 90.00, 90.00, 90.00 degrees
Fractional coordinates of all 5 atoms:
K  0.0000  0.5000  0.0000
K  0.5000  0.0000  0.0000
Rb  0.0000  0.0000  0.5000
Zn  0.5000  0.5000  0.5000
Pt  0.5000  0.5000  0.0000

Computed properties:
M_tot in μB per atom: 0.000
E in eV for the cell shown: -10.566
Calculated density in g/cm³: 3.45
Volume in Å³/cell: 204.21
Crystal system: tetragonal
Formation enthalpy at 0 K in eV per atom: -0.0177